# 1
Crystalline CeSbCl at its relaxed geometry, computed with PBE-GGA.

POSCAR file:
```
CeSbCl
1.0
-2.764 -4.773 0.418
4.362 -2.352 1.983
-0.199 3.748 4.884
Ce Sb Cl
2 2 2
Direct
0.252 0.250 0.503 Ce
0.748 0.750 0.497 Ce
0.940 0.250 0.879 Sb
0.060 0.750 0.121 Sb
0.642 0.250 0.283 Cl
0.358 0.750 0.717 Cl
```

Results
E above lowest polymorph = 135 meV/atom
E_form (uncorrected) = -324 kJ/mol of formula units

=====

# 2
Crystalline LaPr6Y2Tm3 at its relaxed geometry, computed with PBE-GGA.

POSCAR file:
```
LaPr6Y2Tm3
1.0
6.321 -0.001 0.027
-3.160 5.474 0.027
-1.102 -1.908 11.741
La Pr Y Tm
1 6 2 3
Direct
0.000 0.000 0.000 La
0.915 0.581 0.745 Pr
0.752 0.752 0.255 Pr
0.085 0.419 0.255 Pr
0.581 0.915 0.745 Pr
0.248 0.248 0.745 Pr
0.419 0.085 0.255 Pr
0.334 0.666 0.000 Y
0.666 0.334 0.000 Y
0.167 0.833 0.500 Tm
0.833 0.167 0.500 Tm
0.500 0.500 0.500 Tm
```

Results
Formation energy = 0.018 eV/atom

=====

Number 1: total magnetic moment 2.372 μB per cell. Number 2: total magnetic moment 0.000 μB per cell.